[1]
# Tc2IrPb

Tc2IrPb after structural relaxation (PBE, the Alexandria database).

a b c (Å): 5.011 5.011 5.011
angles (deg): 133.08 133.08 68.53
Element x y z (fractional)
Ir 0.250 0.750 0.500
Pb 0.750 0.250 0.500
Tc 0.000 0.000 0.000
Tc 0.500 0.500 0.000

- Mass density: 15.0 g cm⁻³

=====

[2]
# TcIr2Pb

TcIr2Pb after structural relaxation (PBE, the Alexandria database).

a b c (Å): 5.903 5.903 7.104
angles (deg): 65.45 65.45 90.00
Element x y z (fractional)
Pb 0.000 0.000 0.000
Pb 0.750 0.250 0.500
Ir 0.578 0.125 0.250
Ir 0.172 0.625 0.250
Ir 0.375 0.422 0.750
Ir 0.875 0.828 0.750
Tc 0.500 0.500 0.000
Tc 0.250 0.750 0.500

- Mass density: 11.4 g cm⁻³

=====

[3]
# Tc2IrPb

Tc2IrPb after structural relaxation (PBE, the Alexandria database).

a b c (Å): 4.818 4.818 5.233
angles (deg): 78.52 78.52 35.40
Element x y z (fractional)
Ir 0.250 0.250 0.250
Pb 0.750 0.750 0.750
Tc 0.991 0.991 0.050
Tc 0.509 0.509 0.450

- Mass density: 14.4 g cm⁻³

=====

[4]
# TcIrPb2

TcIrPb2 after structural relaxation (PBE, the Alexandria database).

a b c (Å): 8.784 8.784 8.784
angles (deg): 21.41 21.41 21.41
Element x y z (fractional)
Ir 0.750 0.750 0.750
Pb 0.000 0.000 0.000
Pb 0.500 0.500 0.500
Tc 0.250 0.250 0.250

- Mass density: 14.8 g cm⁻³
- ΔE to the lowest computed polymorph: 135.9 meV/atom

=====

[5]
# TcIr2Pb

TcIr2Pb after structural relaxation (PBE, the Alexandria database).

a b c (Å): 5.691 5.691 5.691
angles (deg): 150.92 129.23 59.57
Element x y z (fractional)
Ir 0.004 0.004 0.000
Ir 0.766 0.266 0.500
Pb 0.501 0.501 0.000
Tc 0.229 0.729 0.500

- Mass density: 16.6 g cm⁻³

=====

[6]
# TcIrPb2

TcIrPb2 after structural relaxation (PBE, the Alexandria database).

a b c (Å): 4.860 4.860 4.860
angles (deg): 60.00 60.00 60.00
Element x y z (fractional)
Ir 0.500 0.500 0.500
Pb 0.000 0.000 0.000
Pb 0.250 0.250 0.250
Tc 0.750 0.750 0.750

- Mass density: 14.4 g cm⁻³
- ΔE to the lowest computed polymorph: 244.6 meV/atom

=====

Number 1: magnetization 0.0 Bohr magnetons per cell, VASP energy -31.3 eV/cell. Number 2: magnetization 0.0 Bohr magnetons per cell, VASP energy -56.4 eV/cell. Number 3: magnetization 0.0 Bohr magnetons per cell, VASP energy -31.6 eV/cell. Number 4: magnetization 0.0 Bohr magnetons per cell, VASP energy -23.7 eV/cell. Number 5: magnetization 0.6 Bohr magnetons per cell, VASP energy -29.5 eV/cell. Number 6: magnetization 1.7 Bohr magnetons per cell, VASP energy -23.3 eV/cell.